Entry 1:
## Ti6CdPb2 (PBE-GGA)

Data for a relaxed structure of Ti6CdPb2.

CIF file:
```
data_Ti6CdPb2
_chemical_formula_sum 'Ti12 Cd2 Pb4'
_cell_length_a 2.948
_cell_length_b 8.161
_cell_length_c 14.541
_cell_angle_alpha 90.00
_cell_angle_beta 90.00
_cell_angle_gamma 90.00
_symmetry_space_group_name_H-M 'I m m m'
_symmetry_Int_Tables_number 71
_symmetry_space_group_name_Hall '-I 2 2'
loop_
_atom_site_label
_atom_site_fract_x
_atom_site_fract_y
_atom_site_fract_z
Ti1 0.000 0.172 0.000
Ti2 0.000 0.324 0.171
Cd1 0.000 0.000 0.500
Pb1 0.000 0.500 0.345
```

Calculated values
- Formation enthalpy at 0 K: 21.06 kJ per mole of atoms



Entry 2:
## Be2SbPt (PBE-GGA)

Data for a relaxed structure of Be2SbPt.

CIF file:
```
data_Be2SbPt
_chemical_formula_sum 'Be4 Sb2 Pt2'
_cell_length_a 3.964
_cell_length_b 3.964
_cell_length_c 7.327
_cell_angle_alpha 90.00
_cell_angle_beta 90.00
_cell_angle_gamma 90.00
_symmetry_space_group_name_H-M 'I 4/m m m'
_symmetry_Int_Tables_number 139
_symmetry_space_group_name_Hall '-I 4 2'
loop_
_atom_site_label
_atom_site_fract_x
_atom_site_fract_y
_atom_site_fract_z
Be1 0.000 0.500 0.250
Sb1 0.000 0.000 0.000
Pt1 0.000 0.000 0.500
```

Calculated values
- Energy relative to the elements, uncorrected: 102 meV per atom



Entry 3:
## Pm2Al (PBE-GGA)

Data for a relaxed structure of Pm2Al.

CIF file:
```
data_Pm2Al
_chemical_formula_sum 'Pm8 Al4'
_cell_length_a 6.701
_cell_length_b 5.230
_cell_length_c 9.784
_cell_angle_alpha 90.00
_cell_angle_beta 90.00
_cell_angle_gamma 90.00
_symmetry_space_group_name_H-M 'P n m a'
_symmetry_Int_Tables_number 62
_symmetry_space_group_name_Hall '-P 2ac 2n'
loop_
_atom_site_label
_atom_site_fract_x
_atom_site_fract_y
_atom_site_fract_z
Pm1 0.026 0.250 0.205
Pm2 0.189 0.250 0.576
Al1 0.208 0.250 0.898
```

Calculated values
- Energy above the lowest structure with this stoichiometry: 0 meV per atom
- Formation enthalpy at 0 K: -24.59 kJ per mole of atoms